Tm3Pd2Pt | PBE | relaxed

Properties
**Final energy**: -5.953 eV/atom

Cell lengths 7.797, 7.797, 6.385 Å; angles 101.20, 101.20, 42.24 degrees
Fractional coordinates of all 12 atoms:
1 Tm 0.149 0.851 0.750
2 Tm 0.224 0.427 0.361
3 Tm 0.427 0.224 0.861
4 Tm 0.573 0.776 0.139
5 Tm 0.776 0.573 0.639
6 Tm 0.851 0.149 0.250
7 Pd 0.067 0.259 0.006
8 Pd 0.259 0.067 0.506
9 Pd 0.741 0.933 0.494
10 Pd 0.933 0.741 0.994
11 Pt 0.354 0.646 0.250
12 Pt 0.646 0.354 0.750



AcClF5 | PBE | relaxed

Properties
**Final energy**: -4.706 eV/atom

Cell lengths 4.832, 7.414, 8.433 Å; angles 97.34, 90.42, 108.81 degrees
Fractional coordinates of all 14 atoms:
1 Ac 0.084 0.498 0.250
2 Ac 0.916 0.502 0.750
3 Cl 0.000 0.000 0.000
4 Cl 0.500 0.000 0.500
5 F 0.077 0.687 0.027
6 F 0.082 0.124 0.202
7 F 0.102 0.689 0.523
8 F 0.420 0.507 0.751
9 F 0.469 0.870 0.301
10 F 0.531 0.130 0.699
11 F 0.580 0.493 0.249
12 F 0.898 0.311 0.477
13 F 0.918 0.876 0.798
14 F 0.923 0.313 0.973



Tb5Pr2Tm4 | PBE | relaxed

Properties
**E above lowest polymorph**: 0.0 meV/atom
**Final energy**: -4.578 eV/atom

Cell lengths 11.811, 11.811, 8.720 Å; angles 104.37, 104.37, 17.37 degrees
Fractional coordinates of all 11 atoms:
1 Tb 0.000 0.000 0.000
2 Tb 0.272 0.272 0.185
3 Tb 0.363 0.363 0.906
4 Tb 0.637 0.637 0.094
5 Tb 0.728 0.728 0.815
6 Pr 0.090 0.090 0.725
7 Pr 0.910 0.910 0.275
8 Tm 0.182 0.182 0.454
9 Tm 0.453 0.453 0.638
10 Tm 0.547 0.547 0.362
11 Tm 0.818 0.818 0.546



TaCuSb | PBE | relaxed

Properties
**Final energy**: -6.402 eV/atom

Cell lengths 3.307, 3.307, 9.751 Å; angles 90.00, 90.00, 90.00 degrees
Fractional coordinates of all 6 atoms:
1 Ta 0.000 0.000 0.000
2 Ta 0.500 0.500 0.500
3 Cu 0.000 0.000 0.650
4 Cu 0.500 0.500 0.150
5 Sb 0.000 0.000 0.308
6 Sb 0.500 0.500 0.808



K2CoAu | PBE | relaxed

Properties
**E above lowest polymorph**: 99.4 meV/atom
**Final energy**: -2.779 eV/atom

Cell lengths 4.717, 5.201, 11.020 Å; angles 90.00, 90.00, 90.00 degrees
Fractional coordinates of all 8 atoms:
1 K 0.000 0.000 0.000
2 K 0.000 0.500 0.500
3 K 0.500 0.000 0.303
4 K 0.500 0.500 0.803
5 Co 0.500 0.000 0.622
6 Co 0.500 0.500 0.122
7 Au 0.000 0.000 0.687
8 Au 0.000 0.500 0.187



Cs2GeBiCl6 | PBE | relaxed

Properties
**Final energy**: -3.388 eV/atom

Cell lengths 7.798, 7.798, 7.798 Å; angles 120.20, 120.20, 89.65 degrees
Fractional coordinates of all 10 atoms:
1 Cs 0.250 0.750 0.500
2 Cs 0.750 0.250 0.500
3 Ge 0.000 0.000 0.000
4 Bi 0.500 0.500 0.000
5 Cl 0.244 0.244 0.000
6 Cl 0.244 0.244 0.489
7 Cl 0.244 0.756 0.000
8 Cl 0.756 0.244 0.000
9 Cl 0.756 0.756 0.000
10 Cl 0.756 0.756 0.511



Ag2RhPb | PBE | relaxed

Properties
**Final energy**: -3.973 eV/atom

Cell lengths 5.568, 8.441, 3.265 Å; angles 90.00, 90.00, 90.00 degrees
Fractional coordinates of all 8 atoms:
1 Ag 0.250 0.250 0.000
2 Ag 0.250 0.750 0.000
3 Ag 0.750 0.250 0.000
4 Ag 0.750 0.750 0.000
5 Rh 0.000 0.000 0.500
6 Rh 0.500 0.500 0.500
7 Pb 0.000 0.500 0.500
8 Pb 0.500 0.000 0.500



ThSc4Si4 | PBE | relaxed

Properties
**Final energy**: -6.527 eV/atom

Cell lengths 8.784, 8.784, 5.337 Å; angles 90.00, 90.00, 90.00 degrees
Fractional coordinates of all 18 atoms:
1 Th 0.250 0.250 0.250
2 Th 0.750 0.750 0.750
3 Sc 0.109 0.635 0.131
4 Sc 0.135 0.891 0.631
5 Sc 0.365 0.609 0.631
6 Sc 0.391 0.865 0.131
7 Sc 0.609 0.135 0.869
8 Sc 0.635 0.391 0.369
9 Sc 0.865 0.109 0.369
10 Sc 0.891 0.365 0.869
11 Si 0.057 0.588 0.641
12 Si 0.088 0.943 0.141
13 Si 0.412 0.557 0.141
14 Si 0.443 0.912 0.641
15 Si 0.557 0.088 0.359
16 Si 0.588 0.443 0.859
17 Si 0.912 0.057 0.859
18 Si 0.943 0.412 0.359



MgZr2Rh | PBE | relaxed

Properties
**E above lowest polymorph**: 81.9 meV/atom
**Final energy**: -6.835 eV/atom

Cell lengths 3.419, 3.411, 6.765 Å; angles 90.00, 90.31, 90.00 degrees
Fractional coordinates of all 4 atoms:
1 Mg 0.000 0.000 0.000
2 Zr 0.497 0.500 0.730
3 Zr 0.503 0.500 0.270
4 Rh 0.000 0.000 0.500



Np2GaIr | PBE | relaxed

Properties
**Final energy**: -9.272 eV/atom

Cell lengths 2.818, 2.818, 33.822 Å; angles 90.00, 90.00, 120.00 degrees
Fractional coordinates of all 12 atoms:
1 Np 0.000 0.000 0.091
2 Np 0.000 0.000 0.909
3 Np 0.333 0.667 0.575
4 Np 0.333 0.667 0.758
5 Np 0.667 0.333 0.242
6 Np 0.667 0.333 0.425
7 Ga 0.000 0.000 0.000
8 Ga 0.333 0.667 0.667
9 Ga 0.667 0.333 0.333
10 Ir 0.000 0.000 0.500
11 Ir 0.333 0.667 0.167
12 Ir 0.667 0.333 0.833



Np2Cl4O3 | PBE | relaxed

Properties
**Final energy**: -7.505 eV/atom

Cell lengths 4.108, 7.573, 8.545 Å; angles 80.47, 78.18, 89.98 degrees
Fractional coordinates of all 9 atoms:
1 Np 0.043 0.267 0.399
2 Np 0.957 0.733 0.601
3 Cl 0.083 0.629 0.306
4 Cl 0.166 0.211 0.113
5 Cl 0.834 0.789 0.887
6 Cl 0.917 0.371 0.694
7 O 0.000 0.000 0.500
8 O 0.458 0.726 0.597
9 O 0.542 0.274 0.403



SrMnIr2 | PBE | relaxed

Properties
**E above lowest polymorph**: 423.7 meV/atom
**Final energy**: -6.794 eV/atom

Cell lengths 3.253, 3.253, 7.315 Å; angles 90.00, 90.00, 90.00 degrees
Fractional coordinates of all 4 atoms:
1 Sr 0.000 0.000 0.000
2 Mn 0.500 0.500 0.651
3 Ir 0.000 0.000 0.507
4 Ir 0.500 0.500 0.294



ScGe3Bi | PBE | relaxed

Properties
**E above lowest polymorph**: 0.0 meV/atom
**Final energy**: -4.368 eV/atom

Cell lengths 5.156, 5.156, 5.156 Å; angles 90.00, 90.00, 90.00 degrees
Fractional coordinates of all 5 atoms:
1 Sc 0.000 0.000 0.000
2 Ge 0.000 0.000 0.500
3 Ge 0.000 0.500 0.000
4 Ge 0.500 0.000 0.000
5 Bi 0.500 0.500 0.500



AcTm3Tl2 | PBE | relaxed

Properties
**Final energy**: -3.867 eV/atom

Cell lengths 9.472, 9.472, 9.527 Å; angles 118.24, 118.24, 31.35 degrees
Fractional coordinates of all 12 atoms:
1 Ac 0.139 0.139 0.073
2 Ac 0.861 0.861 0.927
3 Tm 0.049 0.049 0.384
4 Tm 0.310 0.310 0.579
5 Tm 0.401 0.401 0.325
6 Tm 0.599 0.599 0.675
7 Tm 0.690 0.690 0.421
8 Tm 0.951 0.951 0.616
9 Tl 0.205 0.205 0.751
10 Tl 0.493 0.493 0.839
11 Tl 0.507 0.507 0.161
12 Tl 0.795 0.795 0.249



Ac4In12Pb | PBE | relaxed

Properties
**Final energy**: -3.492 eV/atom

Cell lengths 8.725, 8.725, 8.725 Å; angles 109.47, 109.47, 109.47 degrees
Fractional coordinates of all 17 atoms:
1 Ac 0.000 0.000 0.500
2 Ac 0.000 0.500 0.000
3 Ac 0.500 0.000 0.000
4 Ac 0.500 0.500 0.500
5 In 0.000 0.314 0.314
6 In 0.000 0.686 0.686
7 In 0.250 0.500 0.750
8 In 0.250 0.750 0.500
9 In 0.314 0.000 0.314
10 In 0.314 0.314 0.000
11 In 0.500 0.250 0.750
12 In 0.500 0.750 0.250
13 In 0.686 0.000 0.686
14 In 0.686 0.686 0.000
15 In 0.750 0.250 0.500
16 In 0.750 0.500 0.250
17 Pb 0.000 0.000 0.000



Ho4Al2Zn | PBE | relaxed

Properties
**Final energy**: -4.107 eV/atom

Cell lengths 8.689, 8.689, 8.689 Å; angles 33.74, 33.74, 33.74 degrees
Fractional coordinates of all 7 atoms:
1 Ho 0.122 0.122 0.122
2 Ho 0.373 0.373 0.373
3 Ho 0.627 0.627 0.627
4 Ho 0.878 0.878 0.878
5 Al 0.248 0.248 0.248
6 Al 0.752 0.752 0.752
7 Zn 0.500 0.500 0.500



CrPbS2 | PBE | relaxed

Properties
**Final energy**: -5.798 eV/atom

Cell lengths 5.549, 6.735, 6.809 Å; angles 60.47, 70.54, 81.10 degrees
Fractional coordinates of all 8 atoms:
1 Cr 0.000 0.000 0.000
2 Cr 0.494 0.995 0.994
3 Pb 0.245 0.498 0.494
4 Pb 0.246 0.499 0.993
5 S 0.139 0.996 0.273
6 S 0.355 0.999 0.720
7 S 0.747 0.290 0.855
8 S 0.747 0.705 0.139



HfCoPtRh | PBE | relaxed

Properties
**Final energy**: -8.358 eV/atom

Cell lengths 3.840, 3.903, 4.013 Å; angles 90.00, 90.00, 90.00 degrees
Fractional coordinates of all 4 atoms:
1 Hf 0.000 0.000 0.000
2 Co 0.000 0.500 0.500
3 Pt 0.500 0.000 0.500
4 Rh 0.500 0.500 0.000



Nd4Sb3I | PBE | relaxed

Properties
**Final energy**: -5.263 eV/atom

Cell lengths 6.390, 6.390, 12.840 Å; angles 90.00, 90.00, 90.00 degrees
Fractional coordinates of all 16 atoms:
1 Nd 0.000 0.000 0.239
2 Nd 0.000 0.000 0.761
3 Nd 0.000 0.500 0.000
4 Nd 0.000 0.500 0.500
5 Nd 0.500 0.000 0.000
6 Nd 0.500 0.000 0.500
7 Nd 0.500 0.500 0.261
8 Nd 0.500 0.500 0.739
9 Sb 0.000 0.000 0.000
10 Sb 0.000 0.500 0.250
11 Sb 0.000 0.500 0.750
12 Sb 0.500 0.000 0.250
13 Sb 0.500 0.000 0.750
14 Sb 0.500 0.500 0.500
15 I 0.000 0.000 0.500
16 I 0.500 0.500 0.000



Al2IrW | PBE | relaxed

Properties
**E above lowest polymorph**: 167.6 meV/atom
**Final energy**: -7.541 eV/atom

Cell lengths 5.600, 8.430, 2.779 Å; angles 90.00, 113.74, 90.00 degrees
Fractional coordinates of all 8 atoms:
1 Al 0.250 0.250 0.000
2 Al 0.250 0.750 0.000
3 Al 0.750 0.250 0.000
4 Al 0.750 0.750 0.000
5 Ir 0.000 0.000 0.500
6 Ir 0.500 0.500 0.500
7 W 0.000 0.500 0.500
8 W 0.500 0.000 0.500



Na3Mg2Tl7 | PBE | relaxed

Properties
**Final energy**: -1.995 eV/atom

Cell lengths 5.545, 3.616, 17.557 Å; angles 90.00, 98.14, 90.00 degrees
Fractional coordinates of all 12 atoms:
1 Na 0.000 0.000 0.000
2 Na 0.310 0.500 0.627
3 Na 0.690 0.500 0.373
4 Mg 0.150 0.000 0.287
5 Mg 0.850 0.000 0.713
6 Tl 0.082 0.500 0.146
7 Tl 0.230 0.000 0.456
8 Tl 0.396 0.000 0.809
9 Tl 0.500 0.500 0.000
10 Tl 0.604 0.000 0.191
11 Tl 0.770 0.000 0.544
12 Tl 0.918 0.500 0.854



Ce2SmTmBi5 | PBE | relaxed

Properties
**Final energy**: -4.516 eV/atom

Cell lengths 5.550, 5.550, 11.821 Å; angles 90.00, 90.00, 90.00 degrees
Fractional coordinates of all 9 atoms:
1 Ce 0.000 0.000 0.215
2 Ce 0.000 0.000 0.785
3 Sm 0.500 0.500 0.000
4 Tm 0.500 0.500 0.500
5 Bi 0.000 0.000 0.500
6 Bi 0.000 0.500 0.000
7 Bi 0.500 0.000 0.000
8 Bi 0.500 0.500 0.256
9 Bi 0.500 0.500 0.744



CuRu2Rh | PBE | relaxed

Properties
**E above lowest polymorph**: 261.2 meV/atom
**Final energy**: -7.120 eV/atom

Cell lengths 2.695, 4.551, 9.138 Å; angles 90.00, 90.00, 90.00 degrees
Fractional coordinates of all 8 atoms:
1 Cu 0.000 0.000 0.000
2 Cu 0.500 0.500 0.000
3 Ru 0.000 0.500 0.247
4 Ru 0.000 0.500 0.753
5 Ru 0.500 0.000 0.247
6 Ru 0.500 0.000 0.753
7 Rh 0.000 0.000 0.500
8 Rh 0.500 0.500 0.500



NaCrBr6 | PBE | relaxed

Properties
**Final energy**: -3.247 eV/atom

Cell lengths 6.933, 6.934, 6.935 Å; angles 60.01, 60.05, 89.97 degrees
Fractional coordinates of all 8 atoms:
1 Na 0.000 0.000 0.000
2 Cr 0.500 0.500 0.000
3 Br 0.104 0.257 0.206
4 Br 0.311 0.744 0.153
5 Br 0.463 0.256 0.433
6 Br 0.537 0.744 0.567
7 Br 0.689 0.256 0.847
8 Br 0.896 0.743 0.794